# ErScS2, optimized geometry, DFT PBE-GGA
data_ErScS2
_chemical_formula_sum 'Er3 Sc3 S6'
_cell_length_a 3.7020
_cell_length_b 3.7020
_cell_length_c 19.5332
_cell_angle_alpha 90.00
_cell_angle_beta 90.00
_cell_angle_gamma 120.00
_symmetry_space_group_name_H-M 'R 3 m'
_symmetry_Int_Tables_number 160
_symmetry_space_group_name_Hall 'R 3 -2"'
loop_
_atom_site_label
_atom_site_type_symbol
_atom_site_fract_x
_atom_site_fract_y
_atom_site_fract_z
Er1 Er 0.0000 0.0000 0.0000
Sc1 Sc 0.0000 0.0000 0.8221
S1 S 0.0000 0.0000 0.2401
S2 S 0.0000 0.0000 0.4177
# E_form (uncorrected) = -1.898 eV/atom
# Energy above the most stable polymorph in this dataset = 0.042 eV per formula unit



# Er2ScS3, optimized geometry, DFT PBE-GGA
data_Er2ScS3
_chemical_formula_sum 'Er4 Sc2 S6'
_cell_length_a 3.817
_cell_length_b 5.392
_cell_length_c 11.417
_cell_angle_alpha 90.00
_cell_angle_beta 90.00
_cell_angle_gamma 90.00
_symmetry_space_group_name_H-M 'I m m m'
_symmetry_Int_Tables_number 71
_symmetry_space_group_name_Hall '-I 2 2'
loop_
_atom_site_label
_atom_site_type_symbol
_atom_site_fract_x
_atom_site_fract_y
_atom_site_fract_z
Er1 Er 0.000 0.000 0.168
Sc1 Sc 0.000 0.000 0.500
S1 S 0.000 0.500 0.160
S2 S 0.000 0.500 0.500
# E_form (uncorrected) = -1.915 eV/atom



# ErScS2, optimized geometry, DFT PBE-GGA
data_ErScS2
_chemical_formula_sum 'Er1 Sc1 S2'
_cell_length_a 3.6572
_cell_length_b 3.6572
_cell_length_c 6.7240
_cell_angle_alpha 90.00
_cell_angle_beta 90.00
_cell_angle_gamma 120.00
_symmetry_space_group_name_H-M 'P -3 m 1'
_symmetry_Int_Tables_number 164
_symmetry_space_group_name_Hall '-P 3 2"'
loop_
_atom_site_label
_atom_site_type_symbol
_atom_site_fract_x
_atom_site_fract_y
_atom_site_fract_z
Er1 Er 0.0000 0.0000 0.0000
Sc1 Sc 0.0000 0.0000 0.5000
S1 S 0.3333 0.6667 0.7372
# E_form (uncorrected) = -1.837 eV/atom
# Energy above the most stable polymorph in this dataset = 0.286 eV per formula unit



# Er3ScS3, optimized geometry, DFT PBE-GGA
data_Er3ScS3
_chemical_formula_sum 'Er12 Sc4 S12'
_cell_length_a 10.387
_cell_length_b 10.830
_cell_length_c 5.428
_cell_angle_alpha 90.00
_cell_angle_beta 90.00
_cell_angle_gamma 90.00
_symmetry_space_group_name_H-M 'C m c m'
_symmetry_Int_Tables_number 63
_symmetry_space_group_name_Hall '-C 2c 2'
loop_
_atom_site_label
_atom_site_type_symbol
_atom_site_fract_x
_atom_site_fract_y
_atom_site_fract_z
Er1 Er 0.000 0.121 0.250
Er2 Er 0.233 0.379 0.250
Sc1 Sc 0.000 0.368 0.750
S1 S 0.000 0.127 0.750
S2 S 0.243 0.372 0.750
# E_form (uncorrected) = -1.637 eV/atom



# Er2ScS2, optimized geometry, DFT PBE-GGA
data_Er2ScS2
_chemical_formula_sum 'Er8 Sc4 S8'
_cell_length_a 8.386
_cell_length_b 11.623
_cell_length_c 5.566
_cell_angle_alpha 90.00
_cell_angle_beta 120.78
_cell_angle_gamma 90.00
_symmetry_space_group_name_H-M 'C 1 2/c 1'
_symmetry_Int_Tables_number 15
loop_
_symmetry_equiv_pos_as_xyz
'x,y,z'
'-x,-y,-z'
'-x,y,-z+1/2'
'x,-y,z+1/2'
'x+1/2,y+1/2,z'
'-x+1/2,-y+1/2,-z'
'-x+1/2,y+1/2,-z+1/2'
'x+1/2,-y+1/2,z+1/2'
loop_
_atom_site_label
_atom_site_type_symbol
_atom_site_fract_x
_atom_site_fract_y
_atom_site_fract_z
Er1 Er 0.236 0.089 0.063
Sc1 Sc 0.000 0.304 0.250
S1 S 0.000 0.087 0.250
S2 S 0.000 0.254 0.750
# E_form (uncorrected) = -1.216 eV/atom



# Er3ScS6, optimized geometry, DFT PBE-GGA
data_Er3ScS6
_chemical_formula_sum 'Er6 Sc2 S12'
_cell_length_a 10.830
_cell_length_b 3.870
_cell_length_c 11.139
_cell_angle_alpha 90.00
_cell_angle_beta 108.63
_cell_angle_gamma 90.00
_symmetry_space_group_name_H-M 'P 1 21/m 1'
_symmetry_Int_Tables_number 11
loop_
_symmetry_equiv_pos_as_xyz
'x,y,z'
'-x,-y,-z'
'-x,y+1/2,-z'
'x,-y+1/2,z'
loop_
_atom_site_label
_atom_site_type_symbol
_atom_site_fract_x
_atom_site_fract_y
_atom_site_fract_z
Er1 Er 0.076 0.250 0.169
Er2 Er 0.183 0.750 0.503
Er3 Er 0.341 0.250 0.918
Sc1 Sc 0.462 0.250 0.317
S1 S 0.022 0.250 0.385
S2 S 0.098 0.250 0.931
S3 S 0.255 0.750 0.282
S4 S 0.316 0.750 0.748
S5 S 0.397 0.250 0.537
S6 S 0.416 0.750 0.099
# E_form (uncorrected) = -1.963 eV/atom
# Energy above the most stable polymorph in this dataset = 0.635 eV per formula unit



# ErScS3, optimized geometry, DFT PBE-GGA
data_ErScS3
_chemical_formula_sum 'Er6 Sc6 S18'
_cell_length_a 6.6588
_cell_length_b 6.6588
_cell_length_c 18.0098
_cell_angle_alpha 90.00
_cell_angle_beta 90.00
_cell_angle_gamma 120.00
_symmetry_space_group_name_H-M 'R -3'
_symmetry_Int_Tables_number 148
_symmetry_space_group_name_Hall '-R 3'
loop_
_atom_site_label
_atom_site_type_symbol
_atom_site_fract_x
_atom_site_fract_y
_atom_site_fract_z
Er1 Er 0.0000 0.0000 0.1486
Sc1 Sc 0.0000 0.0000 0.3453
S1 S 0.0145 0.7030 0.2520
# E_form (uncorrected) = -1.961 eV/atom



# ErSc2S3, optimized geometry, DFT PBE-GGA
data_ErSc2S3
_chemical_formula_sum 'Er2 Sc4 S6'
_cell_length_a 3.760
_cell_length_b 5.312
_cell_length_c 11.235
_cell_angle_alpha 90.00
_cell_angle_beta 90.00
_cell_angle_gamma 90.00
_symmetry_space_group_name_H-M 'I m m m'
_symmetry_Int_Tables_number 71
_symmetry_space_group_name_Hall '-I 2 2'
loop_
_atom_site_label
_atom_site_type_symbol
_atom_site_fract_x
_atom_site_fract_y
_atom_site_fract_z
Er1 Er 0.000 0.000 0.000
Sc1 Sc 0.000 0.000 0.338
S1 S 0.000 0.500 0.000
S2 S 0.000 0.500 0.326
# E_form (uncorrected) = -1.888 eV/atom
# Energy above the most stable polymorph in this dataset = 0.000 eV per formula unit



# ErSc8S4, optimized geometry, DFT PBE-GGA
data_ErSc8S4
_chemical_formula_sum 'Er2 Sc16 S8'
_cell_length_a 17.500
_cell_length_b 3.551
_cell_length_c 11.877
_cell_angle_alpha 90.00
_cell_angle_beta 130.08
_cell_angle_gamma 90.00
_symmetry_space_group_name_H-M 'C 1 2/m 1'
_symmetry_Int_Tables_number 12
loop_
_symmetry_equiv_pos_as_xyz
'x,y,z'
'-x,-y,-z'
'-x,y,-z'
'x,-y,z'
'x+1/2,y+1/2,z'
'-x+1/2,-y+1/2,-z'
'-x+1/2,y+1/2,-z'
'x+1/2,-y+1/2,z'
loop_
_atom_site_label
_atom_site_type_symbol
_atom_site_fract_x
_atom_site_fract_y
_atom_site_fract_z
Er1 Er 0.000 0.000 0.000
Sc1 Sc 0.038 0.000 0.746
Sc2 Sc 0.126 0.500 0.587
Sc3 Sc 0.165 0.500 0.325
Sc4 Sc 0.196 0.500 0.072
S1 S 0.148 0.000 0.460
S2 S 0.170 0.500 0.834
# E_form (uncorrected) = -1.104 eV/atom



# ErScSeS, optimized geometry, DFT PBE-GGA
data_ErScSeS
_chemical_formula_sum 'Er3 Sc3 Se3 S3'
_cell_length_a 3.7777
_cell_length_b 3.7777
_cell_length_c 20.0307
_cell_angle_alpha 90.00
_cell_angle_beta 90.00
_cell_angle_gamma 120.00
_symmetry_space_group_name_H-M 'R 3 m'
_symmetry_Int_Tables_number 160
_symmetry_space_group_name_Hall 'R 3 -2"'
loop_
_atom_site_label
_atom_site_type_symbol
_atom_site_fract_x
_atom_site_fract_y
_atom_site_fract_z
Er1 Er 0.0000 0.0000 0.0000
Sc1 Sc 0.0000 0.0000 0.1855
Se1 Se 0.0000 0.0000 0.4275
S1 S 0.0000 0.0000 0.5903
# E_form (uncorrected) = -1.789 eV/atom



# SmEr2Sc3S6, optimized geometry, DFT PBE-GGA
data_SmEr2Sc3S6
_chemical_formula_sum 'Sm2 Er4 Sc6 S12'
_cell_length_a 16.565
_cell_length_b 3.794
_cell_length_c 7.643
_cell_angle_alpha 90.00
_cell_angle_beta 103.35
_cell_angle_gamma 90.00
_symmetry_space_group_name_H-M 'C 1 2/m 1'
_symmetry_Int_Tables_number 12
loop_
_symmetry_equiv_pos_as_xyz
'x,y,z'
'-x,-y,-z'
'-x,y,-z'
'x,-y,z'
'x+1/2,y+1/2,z'
'-x+1/2,-y+1/2,-z'
'-x+1/2,y+1/2,-z'
'x+1/2,-y+1/2,z'
loop_
_atom_site_label
_atom_site_type_symbol
_atom_site_fract_x
_atom_site_fract_y
_atom_site_fract_z
Sm1 Sm 0.000 0.000 0.000
Er1 Er 0.166 0.500 0.331
Sc1 Sc 0.000 0.000 0.500
Sc2 Sc 0.164 0.500 0.835
S1 S 0.002 0.500 0.733
S2 S 0.165 0.000 0.590
S3 S 0.173 0.000 0.079
# E_form (uncorrected) = -1.912 eV/atom



# Sm3ErSc2S6, optimized geometry, DFT PBE-GGA
data_Sm3ErSc2S6
_chemical_formula_sum 'Sm6 Er2 Sc4 S12'
_cell_length_a 6.665
_cell_length_b 11.589
_cell_length_c 6.804
_cell_angle_alpha 90.00
_cell_angle_beta 109.15
_cell_angle_gamma 90.00
_symmetry_space_group_name_H-M 'C 1 2/m 1'
_symmetry_Int_Tables_number 12
loop_
_symmetry_equiv_pos_as_xyz
'x,y,z'
'-x,-y,-z'
'-x,y,-z'
'x,-y,z'
'x+1/2,y+1/2,z'
'-x+1/2,-y+1/2,-z'
'-x+1/2,y+1/2,-z'
'x+1/2,-y+1/2,z'
loop_
_atom_site_label
_atom_site_type_symbol
_atom_site_fract_x
_atom_site_fract_y
_atom_site_fract_z
Sm1 Sm 0.000 0.000 0.000
Sm2 Sm 0.000 0.336 0.000
Er1 Er 0.000 0.500 0.500
Sc1 Sc 0.000 0.167 0.500
S1 S 0.235 0.000 0.727
S2 S 0.247 0.330 0.729
# E_form (uncorrected) = -1.951 eV/atom



# Sm4Er3ScS8, optimized geometry, DFT PBE-GGA
data_Sm4Er3ScS8
_chemical_formula_sum 'Sm12 Er9 Sc3 S24'
_cell_length_a 7.7792
_cell_length_b 7.7792
_cell_length_c 19.4885
_cell_angle_alpha 90.00
_cell_angle_beta 90.00
_cell_angle_gamma 120.00
_symmetry_space_group_name_H-M 'R -3 m'
_symmetry_Int_Tables_number 166
_symmetry_space_group_name_Hall '-R 3 2"'
loop_
_atom_site_label
_atom_site_type_symbol
_atom_site_fract_x
_atom_site_fract_y
_atom_site_fract_z
Sm1 Sm 0.0000 0.0000 0.0000
Sm2 Sm 0.0000 0.5000 0.0000
Er1 Er 0.0000 0.5000 0.5000
Sc1 Sc 0.0000 0.0000 0.5000
S1 S 0.0000 0.0000 0.2451
S2 S 0.0058 0.5029 0.2438
# E_form (uncorrected) = -1.972 eV/atom



# Sm3Er2ScS6, optimized geometry, DFT PBE-GGA
data_Sm3Er2ScS6
_chemical_formula_sum 'Sm6 Er4 Sc2 S12'
_cell_length_a 6.718
_cell_length_b 11.678
_cell_length_c 6.847
_cell_angle_alpha 90.00
_cell_angle_beta 109.18
_cell_angle_gamma 90.00
_symmetry_space_group_name_H-M 'C 1 2/m 1'
_symmetry_Int_Tables_number 12
loop_
_symmetry_equiv_pos_as_xyz
'x,y,z'
'-x,-y,-z'
'-x,y,-z'
'x,-y,z'
'x+1/2,y+1/2,z'
'-x+1/2,-y+1/2,-z'
'-x+1/2,y+1/2,-z'
'x+1/2,-y+1/2,z'
loop_
_atom_site_label
_atom_site_type_symbol
_atom_site_fract_x
_atom_site_fract_y
_atom_site_fract_z
Sm1 Sm 0.000 0.000 0.000
Sm2 Sm 0.000 0.331 0.000
Er1 Er 0.000 0.166 0.500
Sc1 Sc 0.000 0.500 0.500
S1 S 0.240 0.337 0.731
S2 S 0.248 0.500 0.266
# E_form (uncorrected) = -1.972 eV/atom



# Sm3Er3ScS8, optimized geometry, DFT PBE-GGA
data_Sm3Er3ScS8
_chemical_formula_sum 'Sm9 Er9 Sc3 S24'
_cell_length_a 7.7886
_cell_length_b 7.7886
_cell_length_c 19.3309
_cell_angle_alpha 90.00
_cell_angle_beta 90.00
_cell_angle_gamma 120.00
_symmetry_space_group_name_H-M 'R -3 m'
_symmetry_Int_Tables_number 166
_symmetry_space_group_name_Hall '-R 3 2"'
loop_
_atom_site_label
_atom_site_type_symbol
_atom_site_fract_x
_atom_site_fract_y
_atom_site_fract_z
Sm1 Sm 0.0000 0.5000 0.0000
Er1 Er 0.0000 0.5000 0.5000
Sc1 Sc 0.0000 0.0000 0.5000
S1 S 0.0000 0.0000 0.2457
S2 S 0.0056 0.5028 0.2444
# E_form (uncorrected) = -2.030 eV/atom



# Sm2ErScS6, optimized geometry, DFT PBE-GGA
data_Sm2ErScS6
_chemical_formula_sum 'Sm6 Er3 Sc3 S18'
_cell_length_a 6.8883
_cell_length_b 6.8883
_cell_length_c 18.1866
_cell_angle_alpha 90.00
_cell_angle_beta 90.00
_cell_angle_gamma 120.00
_symmetry_space_group_name_H-M 'R 3'
_symmetry_Int_Tables_number 146
_symmetry_space_group_name_Hall 'R 3'
loop_
_atom_site_label
_atom_site_type_symbol
_atom_site_fract_x
_atom_site_fract_y
_atom_site_fract_z
Sm1 Sm 0.0000 0.0000 0.0000
Sm2 Sm 0.0000 0.0000 0.4983
Er1 Er 0.0000 0.0000 0.2043
Sc1 Sc 0.0000 0.0000 0.7021
S1 S 0.0469 0.3453 0.7736
S2 S 0.0524 0.6904 0.2760
# E_form (uncorrected) = -1.993 eV/atom



# Sr3Er3ScS8, optimized geometry, DFT PBE-GGA
data_Sr3Er3ScS8
_chemical_formula_sum 'Sr9 Er9 Sc3 S24'
_cell_length_a 7.8811
_cell_length_b 7.8811
_cell_length_c 20.5074
_cell_angle_alpha 90.00
_cell_angle_beta 90.00
_cell_angle_gamma 120.00
_symmetry_space_group_name_H-M 'R -3 m'
_symmetry_Int_Tables_number 166
_symmetry_space_group_name_Hall '-R 3 2"'
loop_
_atom_site_label
_atom_site_type_symbol
_atom_site_fract_x
_atom_site_fract_y
_atom_site_fract_z
Sr1 Sr 0.0000 0.5000 0.0000
Er1 Er 0.0000 0.5000 0.5000
Sc1 Sc 0.0000 0.0000 0.5000
S1 S 0.0000 0.0000 0.2422
S2 S 0.0087 0.5044 0.2387
# E_form (uncorrected) = -2.057 eV/atom



# SrErSc4S8, optimized geometry, DFT PBE-GGA
data_SrErSc4S8
_chemical_formula_sum 'Sr3 Er3 Sc12 S24'
_cell_length_a 7.7936
_cell_length_b 7.7936
_cell_length_c 19.4939
_cell_angle_alpha 90.00
_cell_angle_beta 90.00
_cell_angle_gamma 120.00
_symmetry_space_group_name_H-M 'R 3 m'
_symmetry_Int_Tables_number 160
_symmetry_space_group_name_Hall 'R 3 -2"'
loop_
_atom_site_label
_atom_site_type_symbol
_atom_site_fract_x
_atom_site_fract_y
_atom_site_fract_z
Sr1 Sr 0.0000 0.0000 0.0000
Er1 Er 0.0000 0.0000 0.3697
Sc1 Sc 0.0000 0.0000 0.7451
Sc2 Sc 0.0044 0.5022 0.8719
S1 S 0.0000 0.0000 0.1401
S2 S 0.0000 0.0000 0.6142
S3 S 0.0136 0.5068 0.1253
S4 S 0.1861 0.3722 0.9451
# E_form (uncorrected) = -1.866 eV/atom



# SrEr4ScS8, optimized geometry, DFT PBE-GGA
data_SrEr4ScS8
_chemical_formula_sum 'Sr3 Er12 Sc3 S24'
_cell_length_a 8.0877
_cell_length_b 8.0877
_cell_length_c 19.4309
_cell_angle_alpha 90.00
_cell_angle_beta 90.00
_cell_angle_gamma 120.00
_symmetry_space_group_name_H-M 'R 3 m'
_symmetry_Int_Tables_number 160
_symmetry_space_group_name_Hall 'R 3 -2"'
loop_
_atom_site_label
_atom_site_type_symbol
_atom_site_fract_x
_atom_site_fract_y
_atom_site_fract_z
Sr1 Sr 0.0000 0.0000 0.0000
Er1 Er 0.0000 0.0000 0.2450
Er2 Er 0.1695 0.3391 0.4542
Sc1 Sc 0.0000 0.0000 0.6240
S1 S 0.0000 0.0000 0.3788
S2 S 0.0000 0.0000 0.8581
S3 S 0.0454 0.5227 0.3732
S4 S 0.1788 0.3576 0.2040
# E_form (uncorrected) = -1.956 eV/atom



# Sr2ErScS4, optimized geometry, DFT PBE-GGA
data_Sr2ErScS4
_chemical_formula_sum 'Sr2 Er1 Sc1 S4'
_cell_length_a 6.858
_cell_length_b 3.972
_cell_length_c 7.074
_cell_angle_alpha 90.00
_cell_angle_beta 108.95
_cell_angle_gamma 90.00
_symmetry_space_group_name_H-M 'P 1 2/m 1'
_symmetry_Int_Tables_number 10
loop_
_symmetry_equiv_pos_as_xyz
'x,y,z'
'-x,-y,-z'
'-x,y,-z'
'x,-y,z'
loop_
_atom_site_label
_atom_site_type_symbol
_atom_site_fract_x
_atom_site_fract_y
_atom_site_fract_z
Sr1 Sr 0.000 0.000 0.000
Sr2 Sr 0.500 0.500 0.000
Er1 Er 0.000 0.500 0.500
Sc1 Sc 0.500 0.000 0.500
S1 S 0.246 0.000 0.723
S2 S 0.265 0.500 0.281
# E_form (uncorrected) = -1.974 eV/atom



# Tb2ErScS6, optimized geometry, DFT PBE-GGA
data_Tb2ErScS6
_chemical_formula_sum 'Tb6 Er3 Sc3 S18'
_cell_length_a 6.8106
_cell_length_b 6.8106
_cell_length_c 18.2049
_cell_angle_alpha 90.00
_cell_angle_beta 90.00
_cell_angle_gamma 120.00
_symmetry_space_group_name_H-M 'R 3'
_symmetry_Int_Tables_number 146
_symmetry_space_group_name_Hall 'R 3'
loop_
_atom_site_label
_atom_site_type_symbol
_atom_site_fract_x
_atom_site_fract_y
_atom_site_fract_z
Tb1 Tb 0.0000 0.0000 0.0000
Tb2 Tb 0.0000 0.0000 0.4980
Er1 Er 0.0000 0.0000 0.2010
Sc1 Sc 0.0000 0.0000 0.6983
S1 S 0.0393 0.3472 0.7691
S2 S 0.0445 0.6798 0.2713
# E_form (uncorrected) = -2.008 eV/atom



Number 1: E -6.685 eV/atom. Number 2: E -6.555 eV/atom. Number 3: E -6.624 eV/atom. Number 4: E -6.266 eV/atom. Number 5: E -5.959 eV/atom. Number 6: E -6.441 eV/atom. Number 7: E -6.617 eV/atom. Number 8: E -6.823 eV/atom. Number 9: E -6.621 eV/atom. Number 10: E -6.416 eV/atom. Number 11: E -6.713 eV/atom. Number 12: E -6.630 eV/atom. Number 13: E -6.467 eV/atom. Number 14: E -6.504 eV/atom. Number 15: E -6.510 eV/atom. Number 16: E -6.503 eV/atom. Number 17: E -5.929 eV/atom. Number 18: E -6.480 eV/atom. Number 19: E -6.190 eV/atom. Number 20: E -5.820 eV/atom. Number 21: E -6.500 eV/atom.